This record from Alexandria describes a relaxed structure of GaBiO3. The functional is PBE.

Cell and atoms, written as POSCAR:
```
GaBiO3
1.0
3.642 0.000 0.000
0.000 5.987 0.000
0.000 0.000 6.164
Ga Bi O
2 2 6
direct
0.000 0.184 0.000
0.000 0.816 0.500
0.500 0.338 0.432
0.500 0.662 0.932
0.000 0.076 0.334
0.000 0.446 0.807
0.000 0.554 0.307
0.000 0.924 0.834
0.500 0.268 0.076
0.500 0.732 0.576
```

- Crystal system: orthorhombic
- Fermi-level density of states: 0.000 states/eV per atom
- Uncorrected energy: -5.8691 eV per atom
- ΔE_f (raw): -730 kJ/mol of formula units

This record from Alexandria describes a relaxed structure of Rb2Ca2IO6. The functional is PBE.

Cell and atoms, written as POSCAR:
```
Rb2Ca2IO6
1.0
2.999 -5.074 0.000
2.999 5.074 0.000
-2.038 0.000 6.638
Rb Ca I O
2 2 1 6
direct
0.171 0.829 0.000
0.829 0.171 0.000
0.336 0.664 0.500
0.664 0.336 0.500
0.000 0.000 0.500
0.053 0.347 0.668
0.227 0.227 0.330
0.347 0.053 0.668
0.653 0.947 0.332
0.773 0.773 0.670
0.947 0.653 0.332
```

- Crystal system: monoclinic
- Fermi-level density of states: 0.265 states/eV per atom
- Uncorrected energy: -5.0581 eV per atom
- ΔE_f (raw): -1776 kJ/mol of formula units

This record from Alexandria describes a relaxed structure of SmTmLuHg. The functional is PBE.

Cell and atoms, written as POSCAR:
```
SmTmLuHg
1.0
7.621 0.000 0.000
0.000 7.621 0.000
0.000 0.000 7.621
Sm Tm Lu Hg
4 4 4 4
direct
0.000 0.000 0.000
0.000 0.500 0.500
0.500 0.000 0.500
0.500 0.500 0.000
0.000 0.000 0.500
0.000 0.500 0.000
0.500 0.000 0.000
0.500 0.500 0.500
0.250 0.250 0.250
0.250 0.750 0.750
0.750 0.250 0.750
0.750 0.750 0.250
0.250 0.250 0.750
0.250 0.750 0.250
0.750 0.250 0.250
0.750 0.750 0.750
```

- ΔE_f: -59 meV per atom
- Crystal system: cubic
- Fermi-level density of states: 1.315 states/eV per atom
- Uncorrected energy: -3.5620 eV per atom

This record from Alexandria describes a relaxed structure of PbCl2. The functional is PBE.

Cell and atoms, written as POSCAR:
```
PbCl2
1.0
7.744 0.000 0.000
0.000 4.590 0.000
0.000 0.000 9.402
Pb Cl
4 8
direct
0.235 0.250 0.081
0.265 0.750 0.581
0.735 0.250 0.419
0.765 0.750 0.919
0.009 0.250 0.846
0.142 0.250 0.415
0.358 0.750 0.915
0.491 0.750 0.346
0.509 0.250 0.654
0.642 0.250 0.085
0.858 0.750 0.585
0.991 0.750 0.154
```

- Crystal system: orthorhombic
- Fermi-level density of states: 0.000 states/eV per atom
- Uncorrected energy: -3.6149 eV per atom
- ΔE_f (raw): -332 kJ/mol of formula units

This record from Alexandria describes a relaxed structure of KCu. The functional is PBE.

Cell and atoms, written as POSCAR:
```
KCu
1.0
10.988 0.000 0.000
0.000 4.604 0.000
-3.006 0.000 4.901
K Cu
4 4
direct
0.093 0.000 0.343
0.407 0.500 0.657
0.593 0.500 0.343
0.907 0.000 0.657
0.219 0.500 0.969
0.281 0.000 0.031
0.719 0.000 0.969
0.781 0.500 0.031
```

- Polymorph energy (0 for the lowest one): 0.0953 eV per atom
- ΔE_f: 338 meV per atom
- Crystal system: monoclinic
- Fermi-level density of states: 0.363 states/eV per atom
- Uncorrected energy: -2.2588 eV per atom

This record from Alexandria describes a relaxed structure of Th3As5Pd6. The functional is PBE.

Cell and atoms, written as POSCAR:
```
Th3As5Pd6
1.0
4.199 0.000 0.000
0.000 12.944 0.000
0.000 0.000 10.039
Th As Pd
6 10 12
direct
0.250 0.085 0.246
0.250 0.415 0.246
0.250 0.750 0.252
0.750 0.250 0.748
0.750 0.585 0.754
0.750 0.915 0.754
0.250 0.085 0.853
0.250 0.415 0.853
0.250 0.623 0.525
0.250 0.750 0.836
0.250 0.877 0.525
0.750 0.123 0.475
0.750 0.250 0.164
0.750 0.377 0.475
0.750 0.585 0.147
0.750 0.915 0.147
0.250 0.067 0.607
0.250 0.250 0.472
0.250 0.250 0.999
0.250 0.433 0.607
0.250 0.585 0.997
0.250 0.915 0.997
0.750 0.085 0.003
0.750 0.415 0.003
0.750 0.567 0.393
0.750 0.750 0.001
0.750 0.750 0.528
0.750 0.933 0.393
```

- ΔE_f: -923 meV per atom
- Crystal system: orthorhombic
- Fermi-level density of states: 0.375 states/eV per atom
- Uncorrected energy: -6.3986 eV per atom

This record from Alexandria describes a relaxed structure of LiAc2Sn9. The functional is PBE.

Cell and atoms, written as POSCAR:
```
LiAc2Sn9
1.0
4.879 0.000 0.000
0.000 4.879 0.000
0.000 0.000 14.219
Li Ac Sn
1 2 9
direct
0.000 0.000 0.000
0.000 0.000 0.328
0.000 0.000 0.672
0.000 0.500 0.148
0.000 0.500 0.500
0.000 0.500 0.852
0.500 0.000 0.148
0.500 0.000 0.500
0.500 0.000 0.852
0.500 0.500 0.000
0.500 0.500 0.322
0.500 0.500 0.678
```

- ΔE_f: -374 meV per atom
- Crystal system: tetragonal
- Fermi-level density of states: 0.422 states/eV per atom
- Uncorrected energy: -4.2208 eV per atom

This record from Alexandria describes a relaxed structure of GaCuAgF6. The functional is PBE.

Cell and atoms, written as POSCAR:
```
GaCuAgF6
1.0
5.320 0.000 0.000
-2.660 4.607 0.000
0.000 0.000 10.300
Ga Cu Ag F
2 2 2 12
direct
0.333 0.667 0.250
0.667 0.333 0.750
0.333 0.667 0.750
0.667 0.333 0.250
0.000 0.000 0.000
0.000 0.000 0.500
0.019 0.378 0.146
0.019 0.642 0.354
0.358 0.378 0.354
0.358 0.981 0.146
0.378 0.019 0.646
0.378 0.358 0.854
0.622 0.642 0.146
0.622 0.981 0.354
0.642 0.019 0.854
0.642 0.622 0.646
0.981 0.358 0.646
0.981 0.622 0.854
```

- Crystal system: trigonal
- Fermi-level density of states: 0.668 states/eV per atom
- Uncorrected energy: -4.2443 eV per atom
- ΔE_f (raw): -1640 kJ/mol of formula units